(1)
Entry from Alexandria via LeMat-Bulk: Er2PuTe after structural relaxation (PBE).

Structure (POSCAR):
```
Er2PuTe
1.0
3.7885 0.0000 0.0000
0.0000 3.7885 0.0000
0.0000 0.0000 7.7275
Pu Er Te
1 2 1
Direct
0.5000 0.5000 0.0000
0.0000 0.0000 0.2701
0.0000 0.0000 0.7299
0.5000 0.5000 0.5000
```

Results
raw formation energy = -444 meV/atom
theoretical density = 10572 kg/m³
VASP energy = -7.0942 eV per atom

(2)
Entry from Alexandria via LeMat-Bulk: Er3Pu4Te8 after structural relaxation (PBE).

Structure (POSCAR):
```
Er3Pu4Te8
1.0
7.6687 -0.1982 -4.2294
-4.9639 7.2053 -0.2066
-0.2074 0.1465 8.7485
Te Pu Er
8 4 3
Direct
0.5000 0.2521 0.7479
0.5000 0.7479 0.2521
0.0056 0.2591 0.2591
0.5155 0.2615 0.2615
0.0000 0.7429 0.2571
0.9944 0.7409 0.7409
0.0000 0.2571 0.7429
0.4845 0.7385 0.7385
0.0000 0.0000 0.5000
0.0000 0.0000 0.0000
0.5000 0.0000 0.0000
0.0000 0.5000 0.0000
0.5000 0.5000 0.5000
0.5000 0.0000 0.5000
0.5000 0.5000 0.0000
```

Results
raw formation energy = -1172 meV/atom
theoretical density = 8794 kg/m³
VASP energy = -7.5823 eV per atom

(3)
Entry from Alexandria via LeMat-Bulk: ErPuTe6 after structural relaxation (PBE).

Structure (POSCAR):
```
ErPuTe6
1.0
2.1706 -13.2002 0.0000
2.1706 13.2002 0.0000
0.0000 0.0000 4.3428
Te Er Pu
6 1 1
Direct
0.7083 0.2917 0.5000
0.2935 0.7065 0.0000
0.9191 0.0809 0.0000
0.0787 0.9213 0.5000
0.5788 0.4212 0.0000
0.4191 0.5809 0.5000
0.1728 0.8272 0.0000
0.8296 0.1704 0.5000
```

Results
raw formation energy = -510 meV/atom
theoretical density = 7853 kg/m³
VASP energy = -5.2286 eV per atom

(4)
Entry from Alexandria via LeMat-Bulk: Er2PuTe4 after structural relaxation (PBE).

Structure (POSCAR):
```
Er2PuTe4
1.0
-3.1755 7.2325 -2.6468
-4.7244 -6.2145 -2.9085
0.0692 -0.3679 8.3222
Pu Te Er
2 8 4
Direct
0.0000 0.0000 0.0000
0.7500 0.5000 0.2500
0.6498 0.7778 0.5027
0.1002 0.3529 0.3780
0.7249 0.2222 0.8720
0.2527 0.2778 0.8998
0.4973 0.1471 0.2751
0.1280 0.8529 0.3502
0.6220 0.7222 0.9749
0.0251 0.6471 0.7473
0.4210 0.2960 0.6250
0.3290 0.7040 0.1250
0.8750 0.2040 0.5790
0.3750 0.7960 0.6710
```

Results
raw formation energy = -1209 meV/atom
theoretical density = 8130 kg/m³
VASP energy = -6.3556 eV per atom